AlFe3Mo: optimized geometry, GGA-PBE.

Unit cell a=4.231 b=4.231 c=4.231 alpha=90.00 beta=90.00 gamma=90.00
Atoms (fractional coordinates):
Al: 0.000 0.000 0.000
Fe: 0.000 0.000 0.500
Fe: 0.000 0.500 0.000
Fe: 0.500 0.000 0.000
Mo: 0.500 0.500 0.500

Computed properties:
Offset from the most stable computed form in eV/atom: 0.000
Crystal system: cubic
DOS at the Fermi energy in states/eV per cell: 10.37
Space group: No. 221
Electronic total energy in eV/atom: -6.737
Energy relative to the elements in meV per atom: 1256